Sm6Hg2CO: relaxed, PBE.

Cell and atoms, written as POSCAR:
```
Sm6Hg2CO
1.0
-6.026 1.990 -3.010
2.748 -1.265 -6.339
-3.306 -9.355 0.434
Sm Hg C O
12 4 2 2
direct
0.500 0.250 0.252 Sm
0.500 0.250 0.748 Sm
0.000 0.750 0.248 Sm
0.000 0.750 0.752 Sm
0.252 0.002 0.500 Sm
0.748 0.002 0.500 Sm
0.252 0.498 0.500 Sm
0.748 0.498 0.500 Sm
0.752 0.502 0.000 Sm
0.248 0.502 0.000 Sm
0.248 0.998 0.000 Sm
0.752 0.998 0.000 Sm
0.500 0.750 0.250 Hg
0.000 0.250 0.750 Hg
0.500 0.750 0.750 Hg
0.000 0.250 0.250 Hg
0.500 0.250 0.500 C
0.000 0.750 0.000 C
0.000 0.750 0.500 O
0.500 0.250 0.000 O
```

Crystal system: cubic
Volume in A^3/atom: 24.50
Uncorrected formation energy in kJ/mol of formula units: -814
N(E_F) in states/eV per atom: 0.87
Total magnetic moment in μB/cell: 0.00
E_tot in eV per atom: -5.153

KTlPO2: relaxed, PBE.

Cell and atoms, written as POSCAR:
```
KTlPO2
1.0
4.900 0.000 0.000
0.000 4.900 0.000
0.000 0.000 6.130
P Tl K O
1 1 1 2
direct
0.000 0.000 0.500 P
0.500 0.500 0.500 Tl
0.000 0.000 0.000 K
0.000 0.500 0.000 O
0.500 0.000 0.000 O
```

Crystal system: tetragonal
Volume in A^3/atom: 29.44
Uncorrected formation energy in kJ/mol of formula units: 386
N(E_F) in states/eV per atom: 0.85
Distance to the lowest polymorph of the same formula in eV/atom: 0.651
Total magnetic moment in μB/cell: 4.99
E_tot in eV per atom: -2.957

BaTa2Cr: relaxed, PBE.

Cell and atoms, written as POSCAR:
```
BaTa2Cr
1.0
-5.410 2.530 -0.146
1.091 -5.119 2.879
0.639 1.508 2.438
Ba Cr Ta
1 1 2
direct
0.500 0.000 0.500 Ba
0.000 0.500 0.500 Cr
0.000 0.000 0.000 Ta
0.500 0.500 0.000 Ta
```

Crystal system: orthorhombic
Volume in A^3/atom: 22.06
Formation enthalpy at 0 K in eV per atom: 1.29
N(E_F) in states/eV per atom: 0.89
Distance to the lowest polymorph of the same formula in eV/atom: 0.658
Total magnetic moment in μB/cell: 3.04
E_tot in eV per atom: -7.521

MgMoRh2: relaxed, PBE.

Cell and atoms, written as POSCAR:
```
MgMoRh2
1.0
-2.698 -1.000 -0.150
0.116 -0.729 2.784
-2.527 6.546 1.820
Mo Rh Mg
1 2 1
direct
0.500 0.500 0.750 Mo
0.000 0.000 0.996 Rh
0.000 0.000 0.504 Rh
0.500 0.500 0.250 Mg
```

Crystal system: tetragonal
Volume in A^3/atom: 15.04
Formation enthalpy at 0 K in eV per atom: -0.34
N(E_F) in states/eV per atom: 0.51
Total magnetic moment in μB/cell: 0.00
E_tot in eV per atom: -7.122

Ac2Ni4SnSb3: relaxed, PBE.

Cell and atoms, written as POSCAR:
```
Ac2Ni4SnSb3
1.0
4.552 0.000 0.000
0.000 4.552 0.000
0.000 0.000 10.339
Ac Ni Sn Sb
2 4 1 3
direct
0.500 0.000 0.238 Ac
0.000 0.500 0.762 Ac
0.500 0.500 0.000 Ni
0.000 0.000 0.000 Ni
0.500 0.000 0.626 Ni
0.000 0.500 0.374 Ni
0.500 0.500 0.500 Sn
0.000 0.000 0.500 Sb
0.500 0.000 0.876 Sb
0.000 0.500 0.124 Sb
```

Crystal system: tetragonal
Volume in A^3/atom: 21.43
Uncorrected formation energy in kJ/mol of formula units: -628
N(E_F) in states/eV per atom: 0.66
Total magnetic moment in μB/cell: 0.00
E_tot in eV per atom: -5.422

TaBeCr2: relaxed, PBE.

Cell and atoms, written as POSCAR:
```
TaBeCr2
1.0
-1.417 0.682 4.551
3.403 -0.411 3.382
-1.124 2.400 -4.020
Cr Be Ta
2 1 1
direct
0.001 0.001 0.000 Cr
0.499 0.499 0.000 Cr
0.250 0.750 0.500 Be
0.750 0.250 0.500 Ta
```

Crystal system: orthorhombic
Volume in A^3/atom: 12.74
Formation enthalpy at 0 K in eV per atom: 0.17
N(E_F) in states/eV per atom: 1.02
Total magnetic moment in μB/cell: 0.00
E_tot in eV per atom: -8.532

CoHgI2: relaxed, PBE.

Cell and atoms, written as POSCAR:
```
CoHgI2
1.0
-1.835 0.995 3.235
0.222 -2.257 3.111
8.310 5.047 5.451
I Co Hg
2 1 1
direct
0.122 0.122 0.633 I
0.878 0.878 0.367 I
0.500 0.500 0.500 Co
0.000 0.000 0.000 Hg
```

Crystal system: trigonal
Volume in A^3/atom: 35.06
Uncorrected formation energy in kJ/mol of formula units: 16
N(E_F) in states/eV per atom: 0.70
Distance to the lowest polymorph of the same formula in eV/atom: 0.000
Total magnetic moment in μB/cell: 0.97
E_tot in eV per atom: -2.586

Pm3HoEr12: relaxed, PBE.

Cell and atoms, written as POSCAR:
```
Pm3HoEr12
1.0
4.996 0.000 0.000
0.000 4.996 0.000
0.000 0.000 20.000
Pm Ho Er
3 1 12
direct
0.000 0.000 0.249 Pm
0.000 0.000 0.500 Pm
0.000 0.000 0.751 Pm
0.000 0.000 0.000 Ho
0.500 0.500 0.000 Er
0.500 0.500 0.249 Er
0.500 0.500 0.500 Er
0.500 0.500 0.751 Er
0.500 0.000 0.123 Er
0.500 0.000 0.374 Er
0.500 0.000 0.626 Er
0.500 0.000 0.877 Er
0.000 0.500 0.123 Er
0.000 0.500 0.374 Er
0.000 0.500 0.626 Er
0.000 0.500 0.877 Er
```

Crystal system: tetragonal
Volume in A^3/atom: 31.21
Formation enthalpy at 0 K in eV per atom: 0.02
N(E_F) in states/eV per atom: 1.34
Total magnetic moment in μB/cell: 0.00
E_tot in eV per atom: -4.576